VASP calculation (PBE-GGA) on a relaxed structure of K2BaGeSe4.

Cell and atoms, written as POSCAR:
```
K2BaGeSe4
1.0
9.099 0.326 0.683
0.320 9.101 0.682
-4.145 -4.151 5.969
K Ba Ge Se
4 2 2 8
Direct
0.516 0.016 0.016
0.484 0.984 0.484
0.000 0.000 0.654
0.500 0.500 0.846
0.027 0.527 0.027
0.973 0.473 0.473
0.500 0.500 0.361
0.000 0.000 0.139
0.155 0.824 0.970
0.675 0.345 0.530
0.324 0.656 0.510
0.845 0.175 0.990
0.821 0.824 0.141
0.676 0.679 0.359
0.179 0.176 0.496
0.324 0.321 0.004
```

The value obtained for the formation energy (no corrections) is -9.00 eV/f.u.